No. 1
First-principles (PBE-GGA) data for crystalline KGaSn at its relaxed geometry, as listed in Alexandria via LeMat-Bulk.

```
KGaSn
1.0
2.2818 -8.4783 0.0000
2.2818 8.4783 0.0000
0.0000 0.0000 4.8612
K Ga Sn
2 2 2
direct
0.0865 0.9135 0.7500
0.9135 0.0865 0.2500
0.2531 0.7469 0.2500
0.7469 0.2531 0.7500
0.3485 0.6515 0.7500
0.6515 0.3485 0.2500
```

The calculation puts the density of states at the Fermi level at 0.20 states/eV per atom. Its crystal system is orthorhombic. Its total magnetic moment is 0.0 μB per formula unit. The volume comes out at 188 Å³ per cell. As for the symmetry: Cmcm. The calculation puts the energy of formation at -186 meV/atom.

=====

No. 2
First-principles (PBE-GGA) data for crystalline Pm2Ho7Tm3 at its relaxed geometry, as listed in Alexandria via LeMat-Bulk.

```
Pm2Ho7Tm3
1.0
6.2922 0.0000 0.0000
0.0000 3.4945 0.0000
-1.8698 0.0000 17.2112
Pm Ho Tm
2 7 3
direct
0.0606 0.0000 0.1732
0.9394 0.0000 0.8268
0.0000 0.5000 0.5000
0.2285 0.0000 0.6673
0.2564 0.0000 0.9985
0.2747 0.5000 0.3369
0.7253 0.5000 0.6631
0.7436 0.0000 0.0015
0.7715 0.0000 0.3327
0.4515 0.5000 0.8429
0.5000 0.0000 0.5000
0.5485 0.5000 0.1571
```

The relative energy among the computed polymorphs is 0 meV/atom. The calculation puts the density of states at the Fermi level at 1.44 states/eV per atom. Its crystal system is monoclinic. Its total magnetic moment is 0.0 μB per formula unit. The volume comes out at 378 Å³ per cell. As for the symmetry: P2/m. The calculation puts the energy of formation at 78 meV/atom.

=====

No. 3
First-principles (PBE-GGA) data for crystalline LuGa2Au at its relaxed geometry, as listed in Alexandria via LeMat-Bulk.

```
LuGa2Au
1.0
2.1704 1.2531 4.8460
-2.1704 1.2531 4.8460
0.0000 -2.5061 4.8460
Lu Ga Au
1 2 1
direct
0.0000 0.0000 0.0000
0.2261 0.2261 0.2261
0.7739 0.7739 0.7739
0.5000 0.5000 0.5000
```

The calculation puts the density of states at the Fermi level at 0.30 states/eV per atom. Its crystal system is trigonal. Its total magnetic moment is 0.0 μB per formula unit. The volume comes out at 79 Å³ per cell. As for the symmetry: R-3m. The calculation puts the energy of formation at -496 meV/atom.

=====

No. 4
First-principles (PBE-GGA) data for crystalline Sr8Tl2Pb at its relaxed geometry, as listed in Alexandria via LeMat-Bulk.

```
Sr8Tl2Pb
1.0
-2.8458 4.6243 8.5057
2.8458 -4.6243 8.5057
2.8458 4.6243 -8.5057
Sr Tl Pb
8 2 1
direct
0.1198 0.3392 0.7807
0.1443 0.1443 0.0000
0.3094 0.0000 0.3094
0.4415 0.6608 0.7807
0.5585 0.3392 0.2193
0.6906 0.0000 0.6906
0.8557 0.8557 0.0000
0.8802 0.6608 0.2193
0.3112 0.8112 0.5000
0.6888 0.1888 0.5000
0.0000 0.5000 0.5000
```

The calculation puts the density of states at the Fermi level at 0.68 states/eV per atom. Its crystal system is orthorhombic. Its total magnetic moment is 0.4 μB per formula unit. The volume comes out at 448 Å³ per cell. As for the symmetry: Immm. The calculation puts the energy of formation at -241 meV/atom.

=====

No. 5
First-principles (PBE-GGA) data for crystalline CrFe12B4 at its relaxed geometry, as listed in Alexandria via LeMat-Bulk.

```
CrFe12B4
1.0
-3.5787 3.5787 3.5787
3.5787 -3.5787 3.5787
3.5787 3.5787 -3.5787
Cr Fe B
1 12 4
direct
0.0000 0.0000 0.0000
0.1656 0.3319 0.8338
0.1662 0.4981 0.3319
0.1662 0.8344 0.6681
0.3319 0.1662 0.4981
0.3319 0.8338 0.1656
0.4981 0.3319 0.1662
0.5019 0.6681 0.8338
0.6681 0.1662 0.8344
0.6681 0.8338 0.5019
0.8338 0.1656 0.3319
0.8338 0.5019 0.6681
0.8344 0.6681 0.1662
0.0000 0.0000 0.5000
0.0000 0.5000 0.0000
0.5000 0.0000 0.0000
0.5000 0.5000 0.5000
```

The calculation puts the density of states at the Fermi level at 0.79 states/eV per atom. Its crystal system is cubic. Its total magnetic moment is 26.1 μB per formula unit. The volume comes out at 183 Å³ per cell. As for the symmetry: Im-3. The calculation puts the energy of formation at 131 meV/atom.

=====

No. 6
First-principles (PBE-GGA) data for crystalline Mg2CdAs at its relaxed geometry, as listed in Alexandria via LeMat-Bulk.

```
Mg2CdAs
1.0
1.6454 0.9500 9.3783
-1.6454 0.9500 9.3783
0.0000 -1.8999 9.3783
Mg Cd As
2 1 1
direct
0.0000 0.0000 0.0000
0.2455 0.2455 0.2455
0.7514 0.7514 0.7514
0.5031 0.5031 0.5031
```

The relative energy among the computed polymorphs is 247 meV/atom. The calculation puts the density of states at the Fermi level at 0.59 states/eV per atom. Its crystal system is trigonal. Its total magnetic moment is 0.0 μB per formula unit. The volume comes out at 88 Å³ per cell. As for the symmetry: R3m. The calculation puts the energy of formation at 16 meV/atom.

=====

No. 7
First-principles (PBE-GGA) data for crystalline Sr2TaInMo at its relaxed geometry, as listed in Alexandria via LeMat-Bulk.

```
Sr2TaInMo
1.0
5.4130 0.0000 0.0000
0.0000 5.4130 0.0000
0.0000 0.0000 5.3372
Sr Ta In Mo
2 1 1 1
direct
0.0000 0.5000 0.0000
0.5000 0.0000 0.0000
0.0000 0.0000 0.5000
0.5000 0.5000 0.5000
0.5000 0.5000 0.0000
```

The calculation puts the density of states at the Fermi level at 1.81 states/eV per atom. Its crystal system is tetragonal. Its total magnetic moment is 0.0 μB per formula unit. The volume comes out at 156 Å³ per cell. As for the symmetry: P4/mmm. The calculation puts the energy of formation at 1708 meV/atom.

=====

No. 8
First-principles (PBE-GGA) data for crystalline BiRhSCl2 at its relaxed geometry, as listed in Alexandria via LeMat-Bulk.

```
BiRhSCl2
1.0
4.7338 0.0000 0.0000
0.0000 4.7338 0.0000
0.0000 0.0000 4.8166
Bi Rh S Cl
1 1 1 2
direct
0.0000 0.0000 0.0000
0.5000 0.5000 0.5000
0.5000 0.5000 0.0000
0.0000 0.5000 0.5000
0.5000 0.0000 0.5000
```

The relative energy among the computed polymorphs is 0 meV/atom. The calculation puts the density of states at the Fermi level at 0.65 states/eV per atom. Its crystal system is tetragonal. Its total magnetic moment is 0.0 μB per formula unit. The calculation puts the energy relative to the elements, uncorrected at -6.6 kJ/mol of atoms. The volume comes out at 108 Å³ per cell. As for the symmetry: P4/mmm.

=====

No. 9
First-principles (PBE-GGA) data for crystalline AlZn3Fe at its relaxed geometry, as listed in Alexandria via LeMat-Bulk.

```
AlZn3Fe
1.0
4.6214 0.0000 0.0000
0.0000 4.6214 0.0000
0.0000 0.0000 4.6214
Al Zn Fe
1 3 1
direct
0.0000 0.0000 0.0000
0.0000 0.5000 0.5000
0.5000 0.0000 0.5000
0.5000 0.5000 0.0000
0.5000 0.5000 0.5000
```

The relative energy among the computed polymorphs is 0 meV/atom. The calculation puts the density of states at the Fermi level at 1.07 states/eV per atom. Its crystal system is cubic. Its total magnetic moment is 1.6 μB per formula unit. The volume comes out at 99 Å³ per cell. As for the symmetry: Pm-3m. The calculation puts the energy of formation at 626 meV/atom.

=====

No. 10
First-principles (PBE-GGA) data for crystalline Zr3TcGe at its relaxed geometry, as listed in Alexandria via LeMat-Bulk.

```
Zr3TcGe
1.0
4.9329 0.0000 0.0000
0.0000 4.9329 0.0000
0.0000 0.0000 4.9329
Zr Tc Ge
3 1 1
direct
0.0000 0.0000 0.5000
0.0000 0.5000 0.0000
0.5000 0.0000 0.0000
0.5000 0.5000 0.5000
0.0000 0.0000 0.0000
```

The relative energy among the computed polymorphs is 297 meV/atom. The calculation puts the density of states at the Fermi level at 1.13 states/eV per atom. Its crystal system is cubic. Its total magnetic moment is 0.0 μB per formula unit. The volume comes out at 120 Å³ per cell. As for the symmetry: Pm-3m. The calculation puts the energy of formation at 729 meV/atom.

=====

No. 11
First-principles (PBE-GGA) data for crystalline KTaGa2 at its relaxed geometry, as listed in Alexandria via LeMat-Bulk.

```
KTaGa2
1.0
0.0000 3.4784 3.4784
3.4784 0.0000 3.4784
3.4784 3.4784 0.0000
K Ta Ga
1 1 2
direct
0.0000 0.0000 0.0000
0.5000 0.5000 0.5000
0.2500 0.2500 0.2500
0.7500 0.7500 0.7500
```

The relative energy among the computed polymorphs is 0 meV/atom. The calculation puts the density of states at the Fermi level at 0.88 states/eV per atom. Its crystal system is cubic. Its total magnetic moment is 0.0 μB per formula unit. The volume comes out at 84 Å³ per cell. As for the symmetry: Fm-3m. The calculation puts the energy of formation at 737 meV/atom.

=====

No. 12
First-principles (PBE-GGA) data for crystalline BaCe2Sn2Au2 at its relaxed geometry, as listed in Alexandria via LeMat-Bulk.

```
BaCe2Sn2Au2
1.0
2.4386 1.4079 9.8311
-2.4386 1.4079 9.8311
0.0000 -2.8159 9.8311
Ba Ce Sn Au
1 2 2 2
direct
0.0000 0.0000 0.0000
0.1435 0.1435 0.1435
0.8565 0.8565 0.8565
0.2560 0.2560 0.2560
0.7440 0.7440 0.7440
0.4413 0.4413 0.4413
0.5587 0.5587 0.5587
```

The calculation puts the density of states at the Fermi level at 1.78 states/eV per atom. Its crystal system is trigonal. Its total magnetic moment is 2.0 μB per formula unit. The volume comes out at 203 Å³ per cell. As for the symmetry: R-3m. The calculation puts the energy of formation at -631 meV/atom.

=====

No. 13
First-principles (PBE-GGA) data for crystalline ThAl6 at its relaxed geometry, as listed in Alexandria via LeMat-Bulk.

```
ThAl6
1.0
-3.5096 3.5096 3.5096
3.5096 -3.5096 3.5096
3.5096 3.5096 -3.5096
Th Al
1 6
direct
0.0000 0.0000 0.0000
0.2500 0.5000 0.7500
0.2500 0.7500 0.5000
0.5000 0.2500 0.7500
0.5000 0.7500 0.2500
0.7500 0.2500 0.5000
0.7500 0.5000 0.2500
```

The calculation puts the density of states at the Fermi level at 0.47 states/eV per atom. Its crystal system is cubic. Its total magnetic moment is 0.0 μB per formula unit. The volume comes out at 173 Å³ per cell. As for the symmetry: Im-3m. The calculation puts the energy of formation at 502 meV/atom.

=====

No. 14
First-principles (PBE-GGA) data for crystalline Ba4Ta5 at its relaxed geometry, as listed in Alexandria via LeMat-Bulk.

```
Ba4Ta5
1.0
-6.1096 6.1096 2.2569
6.1096 -6.1096 2.2569
6.1096 6.1096 -2.2569
Ba Ta
4 5
direct
0.0000 0.2933 0.2933
0.0000 0.7067 0.7067
0.2933 0.0000 0.2933
0.7067 0.0000 0.7067
0.0000 0.0000 0.0000
0.3930 0.3930 0.7859
0.3930 0.6070 0.0000
0.6070 0.3930 0.0000
0.6070 0.6070 0.2141
```

The relative energy among the computed polymorphs is 0 meV/atom. The calculation puts the density of states at the Fermi level at 1.73 states/eV per atom. Its crystal system is tetragonal. Its total magnetic moment is 0.0 μB per formula unit. The volume comes out at 337 Å³ per cell. As for the symmetry: I4/mmm. The calculation puts the energy of formation at 812 meV/atom.

=====

No. 15
First-principles (PBE-GGA) data for crystalline BaCeZnPb at its relaxed geometry, as listed in Alexandria via LeMat-Bulk.

```
BaCeZnPb
1.0
0.0000 4.0277 4.0277
4.0277 0.0000 4.0277
4.0277 4.0277 0.0000
Ba Ce Zn Pb
1 1 1 1
direct
0.0000 0.0000 0.0000
0.5000 0.5000 0.5000
0.7500 0.7500 0.7500
0.2500 0.2500 0.2500
```

The calculation puts the density of states at the Fermi level at 2.65 states/eV per atom. Its crystal system is cubic. Its total magnetic moment is 1.9 μB per formula unit. The volume comes out at 131 Å³ per cell. As for the symmetry: F-43m. The calculation puts the energy of formation at -196 meV/atom.

=====

No. 16
First-principles (PBE-GGA) data for crystalline Pm8SnGe2 at its relaxed geometry, as listed in Alexandria via LeMat-Bulk.

```
Pm8SnGe2
1.0
9.7915 -2.4825 0.0000
9.7915 2.4825 0.0000
-1.4105 0.0000 6.8754
Pm Sn Ge
8 1 2
direct
0.0298 0.0298 0.2617
0.2129 0.2129 0.8445
0.3336 0.3336 0.4979
0.4068 0.4068 0.0274
0.5932 0.5932 0.9726
0.6664 0.6664 0.5021
0.7871 0.7871 0.1555
0.9702 0.9702 0.7383
0.5000 0.5000 0.5000
0.1851 0.1851 0.2623
0.8149 0.8149 0.7377
```

The calculation puts the density of states at the Fermi level at 1.12 states/eV per atom. Its crystal system is monoclinic. Its total magnetic moment is 0.0 μB per formula unit. The volume comes out at 334 Å³ per cell. As for the symmetry: C2/m. The calculation puts the energy of formation at -402 meV/atom.

=====

No. 17
First-principles (PBE-GGA) data for crystalline Pm2GeS at its relaxed geometry, as listed in Alexandria via LeMat-Bulk.

```
Pm2GeS
1.0
2.0791 1.2004 6.8323
-2.0791 1.2004 6.8323
0.0000 -2.4007 6.8323
Pm Ge S
2 1 1
direct
0.2493 0.2493 0.2493
0.7507 0.7507 0.7507
0.0000 0.0000 0.0000
0.5000 0.5000 0.5000
```

The relative energy among the computed polymorphs is 39 meV/atom. The calculation puts the density of states at the Fermi level at 0.37 states/eV per atom. Its crystal system is trigonal. Its total magnetic moment is 0.0 μB per formula unit. The calculation puts the energy relative to the elements, uncorrected at -140.6 kJ/mol of atoms. The volume comes out at 102 Å³ per cell. As for the symmetry: R-3m.

=====

No. 18
First-principles (PBE-GGA) data for crystalline ScPa2Fe at its relaxed geometry, as listed in Alexandria via LeMat-Bulk.

```
ScPa2Fe
1.0
1.7277 0.9975 8.6743
-1.7277 0.9975 8.6743
0.0000 -1.9950 8.6743
Sc Pa Fe
1 2 1
direct
0.0000 0.0000 0.0000
0.5674 0.5674 0.5674
0.7720 0.7720 0.7720
0.1757 0.1757 0.1757
```

The calculation puts the density of states at the Fermi level at 1.84 states/eV per atom. Its crystal system is trigonal. Its total magnetic moment is 0.0 μB per formula unit. The volume comes out at 90 Å³ per cell. As for the symmetry: R3m. The calculation puts the energy of formation at 80 meV/atom.

=====

No. 19
First-principles (PBE-GGA) data for crystalline HoEr3 at its relaxed geometry, as listed in Alexandria via LeMat-Bulk.

```
HoEr3
1.0
7.1521 0.0000 0.0000
-3.5761 6.1939 0.0000
0.0000 0.0000 5.5629
Ho Er
2 6
direct
0.3333 0.6667 0.2500
0.6667 0.3333 0.7500
0.1665 0.3331 0.7500
0.1665 0.8335 0.7500
0.3331 0.1665 0.2500
0.6669 0.8335 0.7500
0.8335 0.1665 0.2500
0.8335 0.6669 0.2500
```

The relative energy among the computed polymorphs is 4 meV/atom. The calculation puts the density of states at the Fermi level at 2.03 states/eV per atom. Its crystal system is hexagonal. Its total magnetic moment is 0.0 μB per formula unit. The volume comes out at 246 Å³ per cell. As for the symmetry: P6_3/mmc. The calculation puts the energy of formation at 3 meV/atom.